No. 1
Crystalline Ag2Br at its relaxed geometry. Source: Alexandria, functional PBE.

```
6
Lattice="-2.122 -2.983 -0.478 0.064 -0.628 3.637 -8.381 5.778 1.146" Properties=species:S:1:pos:R:3 pbc="T T T"
Ag -4.724 2.965 2.469
Ag -2.395 1.359 2.150
Ag -7.014 2.614 0.575
Ag -4.686 1.008 0.257
Br -6.998 4.533 2.780
Br -2.412 -0.560 -0.054
```

Computed properties:
- Raw formation energy: -0.119 eV/atom
- Offset from the most stable computed form: 40 meV/atom

***

No. 2
Crystalline ErThUO6 at its relaxed geometry. Source: Alexandria, functional PBE.

```
18
Lattice="-1.722 -3.250 4.458 5.639 0.744 -1.026 0.005 7.881 5.747" Properties=species:S:1:pos:R:3 pbc="T T T"
O -0.527 -0.062 2.308
O 2.535 -0.618 3.067
O 4.994 4.645 4.125
O 0.190 -1.902 4.830
O 1.941 5.216 3.344
O 4.449 5.438 6.871
O 1.388 5.993 6.112
O 1.981 0.159 5.835
O 2.630 3.373 5.871
O -1.072 0.731 5.054
O 3.732 7.277 4.349
O 1.293 2.003 3.308
U 0.733 0.052 4.067
U 3.189 5.324 5.112
Er 3.187 1.383 2.239
Er 0.736 3.992 6.940
Th 0.000 0.000 0.000
Th 0.003 3.940 2.873
```

Computed properties:
- Raw formation energy: -3.481 eV/atom

***

No. 3
Crystalline Y3ScIn2 at its relaxed geometry. Source: Alexandria, functional PBE.

```
6
Lattice="4.406 0.000 0.000 0.000 4.610 -1.526 0.000 0.095 8.014" Properties=species:S:1:pos:R:3 pbc="T T T"
Sc 0.000 0.000 0.000
Y 2.203 2.305 -0.763
Y 2.203 3.884 4.007
Y 2.203 0.821 2.481
In 0.000 1.673 5.054
In 0.000 3.033 1.434
```

Computed properties:
- Formation energy from the elements: -199 kJ/mol of formula units

***

No. 4
Crystalline Be2CdAu2 at its relaxed geometry. Source: Alexandria, functional PBE.

```
10
Lattice="6.980 0.000 0.000 0.000 6.980 0.000 0.000 0.000 2.979" Properties=species:S:1:pos:R:3 pbc="T T T"
Cd 0.000 0.000 0.000
Cd 3.490 3.490 0.000
Be 0.872 2.618 0.000
Be 2.618 6.108 0.000
Be 4.362 0.872 0.000
Be 6.108 4.362 0.000
Au 1.124 4.614 1.490
Au 2.366 1.124 1.490
Au 4.614 5.856 1.490
Au 5.856 2.366 1.490
```

Computed properties:
- Offset from the most stable computed form: 27 meV/atom
- Formation energy from the elements: -47 kJ/mol of formula units

***

| no. | total energy (eV per atom) | size of the total moment (μB per cell) |
| --- | --- | --- |
| 1 | -2.577 | 0.0 |
| 2 | -9.372 | 2.0 |
| 3 | -5.544 | 0.0 |
| 4 | -3.082 | 0.0 |